# 1
The following is a GGA-PBE calculation of PmTlPbAu after structural relaxation, from Alexandria.

```
data_PmTlPbAu
_chemical_formula_sum 'Pm4 Tl4 Pb4 Au4'
_space_group_name_H-M_alt 'F -4 3 m'
_space_group_IT_number 216
_space_group_name_Hall 'F -4 2 3'
_cell_length_a 7.513
_cell_length_b 7.513
_cell_length_c 7.513
_cell_angle_alpha 90.00
_cell_angle_beta 90.00
_cell_angle_gamma 90.00
loop_
_atom_site_label
_atom_site_type_symbol
_atom_site_fract_x
_atom_site_fract_y
_atom_site_fract_z
Pm1 Pm 0.000 0.000 0.000
Tl1 Tl 0.250 0.250 0.250
Pb1 Pb 0.000 0.000 0.500
Au1 Au 0.250 0.250 0.750
```

Summary:
calculated formation energy = -0.330 eV per atom

# 2
The following is a GGA-PBE calculation of Pm3Pr6Er2Tm after structural relaxation, from Alexandria.

```
data_Pm3Pr6Er2Tm
_chemical_formula_sum 'Pm6 Pr12 Er4 Tm2'
_space_group_name_H-M_alt 'C 1 2/m 1'
_space_group_IT_number 12
_cell_length_a 6.335
_cell_length_b 10.977
_cell_length_c 11.972
_cell_angle_alpha 90.00
_cell_angle_beta 100.14
_cell_angle_gamma 90.00
loop_
_space_group_symop_operation_xyz
'x,y,z'
'-x,-y,-z'
'-x,y,-z'
'x,-y,z'
'x+1/2,y+1/2,z'
'-x+1/2,-y+1/2,-z'
'-x+1/2,y+1/2,-z'
'x+1/2,-y+1/2,z'
loop_
_atom_site_label
_atom_site_type_symbol
_atom_site_fract_x
_atom_site_fract_y
_atom_site_fract_z
Pm1 Pm 0.000 0.000 0.000
Pm2 Pm 0.000 0.333 0.000
Pr1 Pr 0.249 0.000 0.746
Pr2 Pr 0.249 0.333 0.746
Er1 Er 0.000 0.167 0.500
Tm1 Tm 0.000 0.500 0.500
```

Summary:
calculated formation energy = 0.015 eV per atom

# 3
The following is a GGA-PBE calculation of MoRu4 after structural relaxation, from Alexandria.

```
data_MoRu4
_chemical_formula_sum 'Mo2 Ru8'
_space_group_name_H-M_alt 'I m -3 m'
_space_group_IT_number 229
_space_group_name_Hall '-I 4 2 3'
_cell_length_a 5.651
_cell_length_b 5.651
_cell_length_c 5.651
_cell_angle_alpha 90.00
_cell_angle_beta 90.00
_cell_angle_gamma 90.00
loop_
_atom_site_label
_atom_site_type_symbol
_atom_site_fract_x
_atom_site_fract_y
_atom_site_fract_z
Mo1 Mo 0.000 0.000 0.000
Ru1 Ru 0.250 0.250 0.250
```

Summary:
calculated formation energy = 1.358 eV per atom

Q: Which value of calculated formation energy does entry 2 give?
A: 0.015 eV per atom

Q: Which value of calculated formation energy does entry 2 give?
A: 0.015 eV per atom

Q: Look up the calculated formation energy of the second one.
A: 0.015 eV per atom

Q: The highest calculated formation energy belongs to which entry?
A: MoRu4